Arrangement one

Computed, not measured: a geometry-optimized Bi2AuBr structure at the GGA-PBE level of DFT.

Size of the total moment = 0.00 μB per formula unit

Cell: 7.336 7.336 7.336 Å, 36.80 36.80 36.80°
Fractional coordinates of all 4 atoms:
Bi (0.000, 0.000, 0.000)
Bi (0.222, 0.222, 0.222)
Au (0.612, 0.612, 0.612)
Br (0.448, 0.448, 0.448)



Arrangement two

Computed, not measured: a geometry-optimized Bi2AuBr structure at the GGA-PBE level of DFT.

Size of the total moment = 0.00 μB per formula unit

Cell: 10.749 10.749 10.749 Å, 153.14 153.14 38.35°
Fractional coordinates of all 8 atoms:
Bi (0.073, 0.625, 0.948)
Bi (0.375, 0.323, 0.448)
Bi (0.677, 0.125, 0.052)
Bi (0.875, 0.927, 0.552)
Au (0.000, 0.000, 0.000)
Au (0.750, 0.250, 0.500)
Br (0.250, 0.750, 0.500)
Br (0.500, 0.500, 0.000)



Computed relative energies in units of meV per atom: arrangement one 0; arrangement two 320



Arrangement one

Computed, not measured: a geometry-optimized BiAuBr2 structure at the GGA-PBE level of DFT.

Size of the total moment = 0.00 μB per formula unit

Cell: 5.249 5.249 5.249 Å, 60.00 60.00 60.00°
Fractional coordinates of all 4 atoms:
Bi (0.000, 0.000, 0.000)
Au (0.500, 0.500, 0.500)
Br (0.250, 0.250, 0.250)
Br (0.750, 0.750, 0.750)



Arrangement two

Computed, not measured: a geometry-optimized BiAuBr2 structure at the GGA-PBE level of DFT.

Size of the total moment = 0.00 μB per formula unit

Cell: 7.887 7.887 7.887 Å, 96.87 96.87 139.54°
Fractional coordinates of all 8 atoms:
Bi (0.000, 0.000, 0.000)
Bi (0.750, 0.250, 0.500)
Au (0.250, 0.750, 0.500)
Au (0.500, 0.500, 0.000)
Br (0.375, 0.239, 0.364)
Br (0.761, 0.125, 0.136)
Br (0.875, 0.011, 0.636)
Br (0.989, 0.625, 0.864)



Arrangement three

Computed, not measured: a geometry-optimized BiAuBr2 structure at the GGA-PBE level of DFT.

Size of the total moment = 0.00 μB per formula unit

Cell: 10.060 10.060 10.060 Å, 21.22 21.22 21.22°
Fractional coordinates of all 4 atoms:
Bi (0.000, 0.000, 0.000)
Au (0.500, 0.500, 0.500)
Br (0.416, 0.416, 0.416)
Br (0.584, 0.584, 0.584)



Computed relative energies in units of meV per atom: arrangement one 351; arrangement two 0; arrangement three 113



Arrangement one

Computed, not measured: a geometry-optimized BiAuBr structure at the GGA-PBE level of DFT.

Size of the total moment = 0.00 μB per formula unit

Cell: 6.682 7.279 8.040 Å, 91.33 109.22 94.64°
Fractional coordinates of all 12 atoms:
Bi (0.000, 0.000, 0.000)
Bi (0.030, 0.498, 0.829)
Bi (0.315, 0.032, 0.409)
Bi (0.613, 0.445, 0.288)
Au (0.156, 0.346, 0.209)
Au (0.286, 0.722, 0.162)
Au (0.690, 0.245, 0.612)
Au (0.719, 0.317, 0.986)
Br (0.117, 0.580, 0.494)
Br (0.293, 0.176, 0.808)
Br (0.699, 0.741, 0.706)
Br (0.734, 0.886, 0.195)



Arrangement two

Computed, not measured: a geometry-optimized BiAuBr structure at the GGA-PBE level of DFT.

Size of the total moment = 0.00 μB per formula unit

Cell: 4.064 4.066 12.606 Å, 89.24 89.54 60.02°
Fractional coordinates of all 6 atoms:
Bi (0.001, 0.008, 0.305)
Bi (0.999, 0.992, 0.695)
Au (0.333, 0.331, 0.562)
Au (0.667, 0.669, 0.438)
Br (0.335, 0.347, 0.143)
Br (0.665, 0.653, 0.857)



Computed relative energies in units of meV per atom: arrangement one 105; arrangement two 0



Arrangement one

Computed, not measured: a geometry-optimized Rb2BiAuBr6 structure at the GGA-PBE level of DFT.

Size of the total moment = 0.00 μB per formula unit

Cell: 8.047 8.047 8.047 Å, 60.00 60.00 60.00°
Fractional coordinates of all 10 atoms:
Rb (0.250, 0.250, 0.250)
Rb (0.750, 0.750, 0.750)
Bi (0.000, 0.000, 0.000)
Au (0.500, 0.500, 0.500)
Br (0.253, 0.253, 0.747)
Br (0.253, 0.747, 0.253)
Br (0.253, 0.747, 0.747)
Br (0.747, 0.253, 0.253)
Br (0.747, 0.253, 0.747)
Br (0.747, 0.747, 0.253)



Arrangement two

Computed, not measured: a geometry-optimized Rb2BiAuBr6 structure at the GGA-PBE level of DFT.

Size of the total moment = 0.00 μB per formula unit

Cell: 8.169 8.256 8.423 Å, 60.91 61.40 88.12°
Fractional coordinates of all 10 atoms:
Rb (0.000, 0.000, 0.000)
Rb (0.455, 0.432, 0.054)
Bi (0.765, 0.307, 0.457)
Au (0.216, 0.606, 0.443)
Br (0.013, 0.093, 0.537)
Br (0.060, 0.558, 0.014)
Br (0.457, 0.109, 0.900)
Br (0.556, 0.624, 0.307)
Br (0.615, 0.083, 0.376)
Br (0.883, 0.603, 0.543)



Computed relative energies in units of meV per atom: arrangement one 52; arrangement two 0



Arrangement one

Computed, not measured: a geometry-optimized BiAu2C structure at the GGA-PBE level of DFT.

Size of the total moment = 0.00 μB per formula unit

Cell: 7.376 7.376 7.376 Å, 138.86 138.86 59.59°
Fractional coordinates of all 8 atoms:
Bi (0.000, 0.000, 0.000)
Bi (0.750, 0.250, 0.500)
Au (0.275, 0.625, 0.150)
Au (0.375, 0.525, 0.650)
Au (0.475, 0.125, 0.850)
Au (0.875, 0.725, 0.350)
C (0.250, 0.750, 0.500)
C (0.500, 0.500, 0.000)



Arrangement two

Computed, not measured: a geometry-optimized BiAu2C structure at the GGA-PBE level of DFT.

Size of the total moment = 0.00 μB per formula unit

Cell: 4.752 4.752 4.752 Å, 60.00 60.00 60.00°
Fractional coordinates of all 4 atoms:
Bi (0.000, 0.000, 0.000)
Au (0.250, 0.250, 0.250)
Au (0.750, 0.750, 0.750)
C (0.500, 0.500, 0.500)



Computed relative energies in units of meV per atom: arrangement one 0; arrangement two 569



Arrangement one

Computed, not measured: a geometry-optimized Tl2BiAuC structure at the GGA-PBE level of DFT.

Size of the total moment = 0.00 μB per formula unit

Cell: 5.782 5.782 3.894 Å, 90.00 90.00 90.00°
Fractional coordinates of all 5 atoms:
Tl (0.000, 0.500, 0.000)
Tl (0.500, 0.000, 0.000)
Bi (0.000, 0.000, 0.500)
Au (0.500, 0.500, 0.500)
C (0.500, 0.500, 0.000)



Arrangement two

Computed, not measured: a geometry-optimized Tl2BiAuC structure at the GGA-PBE level of DFT.

Size of the total moment = 1.40 μB per formula unit

Cell: 5.546 5.546 5.623 Å, 90.00 90.00 90.00°
Fractional coordinates of all 5 atoms:
Tl (0.000, 0.500, 0.000)
Tl (0.500, 0.000, 0.000)
Bi (0.000, 0.000, 0.500)
Au (0.000, 0.000, 0.000)
C (0.500, 0.500, 0.500)



Computed relative energies in units of meV per atom: arrangement one 0; arrangement two 790



Arrangement one

Computed, not measured: a geometry-optimized CaBi3Au structure at the GGA-PBE level of DFT.

Size of the total moment = 0.00 μB per formula unit

Cell: 5.772 5.772 5.772 Å, 90.00 90.00 90.00°
Fractional coordinates of all 5 atoms:
Ca (0.000, 0.000, 0.000)
Bi (0.000, 0.000, 0.500)
Bi (0.000, 0.500, 0.000)
Bi (0.500, 0.000, 0.000)
Au (0.500, 0.500, 0.500)



Arrangement two

Computed, not measured: a geometry-optimized CaBi3Au structure at the GGA-PBE level of DFT.

Size of the total moment = 0.00 μB per formula unit

Cell: 5.610 5.610 5.610 Å, 90.00 90.00 90.00°
Fractional coordinates of all 5 atoms:
Ca (0.000, 0.000, 0.000)
Bi (0.000, 0.500, 0.500)
Bi (0.500, 0.000, 0.500)
Bi (0.500, 0.500, 0.000)
Au (0.500, 0.500, 0.500)



Computed relative energies in units of meV per atom: arrangement one 663; arrangement two 0



Arrangement one

Computed, not measured: a geometry-optimized CaBiAu3 structure at the GGA-PBE level of DFT.

Size of the total moment = 0.00 μB per formula unit

Cell: 14.221 14.221 4.584 Å, 90.00 90.00 164.99°
Fractional coordinates of all 10 atoms:
Ca (0.075, 0.925, 0.750)
Ca (0.925, 0.075, 0.250)
Bi (0.209, 0.791, 0.250)
Bi (0.791, 0.209, 0.750)
Au (0.319, 0.681, 0.250)
Au (0.378, 0.622, 0.750)
Au (0.474, 0.526, 0.750)
Au (0.526, 0.474, 0.250)
Au (0.622, 0.378, 0.250)
Au (0.681, 0.319, 0.750)



Arrangement two

Computed, not measured: a geometry-optimized CaBiAu3 structure at the GGA-PBE level of DFT.

Size of the total moment = 0.00 μB per formula unit

Cell: 5.394 5.394 5.394 Å, 90.00 90.00 90.00°
Fractional coordinates of all 5 atoms:
Ca (0.000, 0.000, 0.000)
Bi (0.500, 0.500, 0.500)
Au (0.000, 0.500, 0.500)
Au (0.500, 0.000, 0.500)
Au (0.500, 0.500, 0.000)



Computed relative energies in units of meV per atom: arrangement one 0; arrangement two 517



Arrangement one

Computed, not measured: a geometry-optimized Ca3BiAu2 structure at the GGA-PBE level of DFT.

Size of the total moment = 0.00 μB per formula unit

Cell: 5.243 5.243 13.434 Å, 90.00 90.00 120.00°
Fractional coordinates of all 12 atoms:
Ca (0.000, 0.000, 0.238)
Ca (0.000, 0.000, 0.762)
Ca (0.333, 0.667, 0.419)
Ca (0.333, 0.667, 0.923)
Ca (0.667, 0.333, 0.077)
Ca (0.667, 0.333, 0.581)
Bi (0.333, 0.667, 0.671)
Bi (0.667, 0.333, 0.329)
Au (0.000, 0.000, 0.000)
Au (0.000, 0.000, 0.500)
Au (0.333, 0.667, 0.149)
Au (0.667, 0.333, 0.851)



Arrangement two

Computed, not measured: a geometry-optimized Ca3BiAu2 structure at the GGA-PBE level of DFT.

Size of the total moment = 0.00 μB per formula unit

Cell: 3.753 3.753 11.235 Å, 90.00 90.00 90.00°
Fractional coordinates of all 6 atoms:
Ca (0.000, 0.000, 0.000)
Ca (0.000, 0.000, 0.313)
Ca (0.000, 0.000, 0.687)
Bi (0.500, 0.500, 0.500)
Au (0.500, 0.500, 0.157)
Au (0.500, 0.500, 0.843)



Computed relative energies in units of meV per atom: arrangement one 0; arrangement two 35



Arrangement one

Computed, not measured: a geometry-optimized Ca2Bi2Au structure at the GGA-PBE level of DFT.

Size of the total moment = 0.00 μB per formula unit

Cell: 7.946 7.946 4.714 Å, 90.00 90.00 90.00°
Fractional coordinates of all 10 atoms:
Ca (0.165, 0.335, 0.000)
Ca (0.335, 0.835, 0.000)
Ca (0.665, 0.165, 0.000)
Ca (0.835, 0.665, 0.000)
Bi (0.146, 0.646, 0.500)
Bi (0.354, 0.146, 0.500)
Bi (0.646, 0.854, 0.500)
Bi (0.854, 0.354, 0.500)
Au (0.000, 0.000, 0.500)
Au (0.500, 0.500, 0.500)



Arrangement two

Computed, not measured: a geometry-optimized Ca2Bi2Au structure at the GGA-PBE level of DFT.

Size of the total moment = 0.00 μB per formula unit

Cell: 6.463 6.463 11.510 Å, 112.05 112.05 42.26°
Fractional coordinates of all 10 atoms:
Ca (0.014, 0.014, 0.340)
Ca (0.168, 0.168, 0.112)
Ca (0.832, 0.832, 0.888)
Ca (0.986, 0.986, 0.660)
Bi (0.338, 0.338, 0.416)
Bi (0.446, 0.446, 0.115)
Bi (0.554, 0.554, 0.885)
Bi (0.662, 0.662, 0.584)
Au (0.314, 0.314, 0.679)
Au (0.686, 0.686, 0.321)



Computed relative energies in units of meV per atom: arrangement one 99; arrangement two 0



Arrangement one

Computed, not measured: a geometry-optimized Ca2Bi2Au structure at the GGA-PBE level of DFT.

Size of the total moment = 0.00 μB per formula unit

Cell: 6.289 6.289 6.289 Å, 120.20 120.20 89.66°
Fractional coordinates of all 5 atoms:
Ca (0.250, 0.750, 0.500)
Ca (0.750, 0.250, 0.500)
Bi (0.181, 0.181, 0.000)
Bi (0.819, 0.819, 0.000)
Au (0.500, 0.500, 0.000)



Arrangement two

Computed, not measured: a geometry-optimized Ca2Bi2Au structure at the GGA-PBE level of DFT.

Size of the total moment = 0.00 μB per formula unit

Cell: 8.002 8.002 4.861 Å, 90.00 90.00 90.00°
Fractional coordinates of all 10 atoms:
Ca (0.169, 0.331, 0.000)
Ca (0.331, 0.831, 0.000)
Ca (0.669, 0.169, 0.000)
Ca (0.831, 0.669, 0.000)
Bi (0.134, 0.634, 0.500)
Bi (0.366, 0.134, 0.500)
Bi (0.634, 0.866, 0.500)
Bi (0.866, 0.366, 0.500)
Au (0.000, 0.000, 0.000)
Au (0.500, 0.500, 0.000)



Computed relative energies in units of meV per atom: arrangement one 109; arrangement two 0



Arrangement one

Computed, not measured: a geometry-optimized Ca3BiAu4 structure at the GGA-PBE level of DFT.

Size of the total moment = 0.00 μB per formula unit

Cell: 8.423 8.423 8.423 Å, 152.11 128.81 59.29°
Fractional coordinates of all 8 atoms:
Ca (0.000, 0.000, 0.000)
Ca (0.319, 0.819, 0.500)
Ca (0.681, 0.181, 0.500)
Bi (0.500, 0.500, 0.000)
Au (0.056, 0.366, 0.690)
Au (0.324, 0.634, 0.690)
Au (0.676, 0.366, 0.310)
Au (0.944, 0.634, 0.310)



Arrangement two

Computed, not measured: a geometry-optimized Ca3BiAu4 structure at the GGA-PBE level of DFT.

Size of the total moment = 0.00 μB per formula unit

Cell: 9.012 9.012 9.012 Å, 32.89 32.89 32.89°
Fractional coordinates of all 8 atoms:
Ca (0.000, 0.000, 0.000)
Ca (0.244, 0.244, 0.244)
Ca (0.756, 0.756, 0.756)
Bi (0.500, 0.500, 0.500)
Au (0.118, 0.118, 0.118)
Au (0.369, 0.369, 0.369)
Au (0.631, 0.631, 0.631)
Au (0.882, 0.882, 0.882)



Computed relative energies in units of meV per atom: arrangement one 110; arrangement two 0